Record 1
Density functional theory data (PBE) for a geometry-optimized Tb2YSb2 structure.

## Properties
energy relative to the elements, uncorrected = -608 meV per atom
E = -5.402 eV/atom

Cell lengths 4.753, 4.753, 7.160 Å; angles 102.43, 102.43, 79.56 degrees
Sites, in units of the cell vectors:
Tb 0.249 0.751 0.000
Tb 0.751 0.249 0.000
Y 0.500 0.500 0.500
Sb 0.172 0.172 0.706
Sb 0.828 0.828 0.294

Record 2
Density functional theory data (PBE) for a geometry-optimized TaGaI2 structure.

## Properties
energy relative to the elements, uncorrected = 314 meV per atom
E = -4.181 eV/atom

Cell lengths 7.599, 7.599, 7.599 Å; angles 97.13, 97.13, 138.73 degrees
Sites, in units of the cell vectors:
Ta 0.000 0.000 0.000
Ta 0.750 0.250 0.500
Ga 0.250 0.750 0.500
Ga 0.500 0.500 0.000
I 0.375 0.226 0.351
I 0.774 0.125 0.149
I 0.875 0.024 0.649
I 0.976 0.625 0.851

Record 3
Density functional theory data (PBE) for a geometry-optimized Cs3Hg7Au2 structure.

## Properties
E = -1.134 eV/atom

Cell lengths 16.016, 16.016, 16.016 Å; angles 160.16, 160.16, 28.20 degrees
Sites, in units of the cell vectors:
Cs 0.000 0.000 0.000
Cs 0.188 0.188 0.000
Cs 0.812 0.812 0.000
Hg 0.098 0.598 0.500
Hg 0.314 0.314 0.000
Hg 0.402 0.902 0.500
Hg 0.500 0.500 0.000
Hg 0.598 0.098 0.500
Hg 0.686 0.686 0.000
Hg 0.902 0.402 0.500
Au 0.409 0.409 0.000
Au 0.591 0.591 0.000

Record 4
Density functional theory data (PBE) for a geometry-optimized CsYGa2W structure.

## Properties
E = -4.848 eV/atom

Cell lengths 5.235, 5.235, 5.308 Å; angles 90.00, 90.00, 90.00 degrees
Sites, in units of the cell vectors:
Cs 0.000 0.000 0.000
Y 0.500 0.500 0.000
Ga 0.000 0.500 0.500
Ga 0.500 0.000 0.500
W 0.500 0.500 0.500

Record 5
Density functional theory data (PBE) for a geometry-optimized Mg2TlRu structure.

## Properties
E = -3.547 eV/atom

Cell lengths 4.706, 4.706, 4.706 Å; angles 60.00, 60.00, 60.00 degrees
Sites, in units of the cell vectors:
Mg 0.000 0.000 0.000
Mg 0.250 0.250 0.250
Tl 0.750 0.750 0.750
Ru 0.500 0.500 0.500

Record 6
Density functional theory data (PBE) for a geometry-optimized TlIrAu structure.

## Properties
E = -4.320 eV/atom

Cell lengths 6.221, 6.221, 6.221 Å; angles 151.04, 151.04, 41.42 degrees
Sites, in units of the cell vectors:
Tl 0.000 0.000 0.000
Ir 0.343 0.343 0.000
Au 0.687 0.687 0.000